(1)
Computed, not measured: crystalline Ac2ScUO8 at its relaxed geometry at the PBE level of DFT.

Formation energy without anion corrections in eV per atom: -3.082
Calculated volume in Å³ per atom: 14.627
DFT total energy in eV/atom: -8.540

Geometry as CIF:
```
data_Ac2ScUO8
_chemical_formula_sum 'Ac2 Sc1 U1 O8'
_cell_length_a 3.965
_cell_length_b 5.598
_cell_length_c 7.938
_cell_angle_alpha 85.04
_cell_angle_beta 89.98
_cell_angle_gamma 89.86
_symmetry_space_group_name_H-M 'P -1'
_symmetry_Int_Tables_number 2
loop_
_symmetry_equiv_pos_as_xyz
'x,y,z'
'-x,-y,-z'
loop_
_atom_site_label
_atom_site_type_symbol
_atom_site_fract_x
_atom_site_fract_y
_atom_site_fract_z
Ac1 Ac 0.000 0.026 0.249
Sc1 Sc 0.500 0.500 0.000
U1 U 0.500 0.500 0.500
O1 O 0.001 0.697 0.030
O2 O 0.002 0.717 0.518
O3 O 0.499 0.252 0.695
O4 O 0.499 0.298 0.240
```

=====

(2)
Computed, not measured: crystalline AcSc2UO8 at its relaxed geometry at the PBE level of DFT.

Formation energy without anion corrections in eV per atom: -3.126
Calculated volume in Å³ per atom: 14.605
DFT total energy in eV/atom: -8.770

Geometry as CIF:
```
data_AcSc2UO8
_chemical_formula_sum 'Ac2 Sc4 U2 O16'
_cell_length_a 6.937
_cell_length_b 6.980
_cell_length_c 7.240
_cell_angle_alpha 90.00
_cell_angle_beta 90.00
_cell_angle_gamma 90.00
_symmetry_space_group_name_H-M 'C m m m'
_symmetry_Int_Tables_number 65
_symmetry_space_group_name_Hall '-C 2 2'
loop_
_atom_site_label
_atom_site_type_symbol
_atom_site_fract_x
_atom_site_fract_y
_atom_site_fract_z
Ac1 Ac 0.000 0.000 0.000
Sc1 Sc 0.000 0.500 0.270
U1 U 0.000 0.000 0.500
O1 O 0.000 0.305 0.500
O2 O 0.000 0.343 0.000
O3 O 0.198 0.000 0.285
```